The following is a PBE-GGA calculation of an optimized crystal structure of LaP2SeCl, from Alexandria via LeMat-Bulk.

Unit cell a=4.863 b=4.863 c=4.958 alpha=90.00 beta=90.00 gamma=90.00
Atoms (fractional coordinates):
1 P 0.000 0.500 0.000
2 P 0.500 0.000 0.000
3 Cl 0.000 0.000 0.500
4 Se 0.000 0.000 0.000
5 La 0.500 0.500 0.500

Computed properties:
symmetry	P4/mmm, No. 123
energy above the most stable polymorph in this dataset	0.0	kJ/mol of formula units
DFT total energy	-22.17	eV/cell